Below is a geometry-optimized CuOsBr2 structure, with properties calculated at the PBE level.

Output
The symmetry is I-4m2 (119). Its energy above the lowest structure with this stoichiometry is 0.740 eV per atom. As for the formation energy without anion corrections: 26.77 kcal/mol of atoms.

Structure (POSCAR):
```
CuOsBr2
1.0
-1.825 1.825 6.417
1.825 -1.825 6.417
1.825 1.825 -6.417
Cu Os Br
1 1 2
direct
0.000 0.000 0.000
0.250 0.750 0.500
0.500 0.500 0.000
0.750 0.250 0.500
```



Below is a geometry-optimized CuB2PtSe structure, with properties calculated at the PBE level.

Output
The symmetry is P4/mmm (123). As for the formation energy without anion corrections: 37.27 kcal/mol of atoms.

Structure (POSCAR):
```
CuB2PtSe
1.0
4.054 0.000 0.000
0.000 4.054 0.000
0.000 0.000 4.499
Cu B Pt Se
1 2 1 1
direct
0.000 0.000 0.000
0.000 0.500 0.500
0.500 0.000 0.500
0.500 0.500 0.000
0.000 0.000 0.500
```



Below is a geometry-optimized Li4DyCu structure, with properties calculated at the PBE level.

Output
The symmetry is F-43m (216). As for the energy of formation from the pure elements: 0.8 eV/f.u.

Structure (POSCAR):
```
Li4DyCu
1.0
0.000 3.749 3.749
3.749 0.000 3.749
3.749 3.749 0.000
Li Dy Cu
4 1 1
direct
0.122 0.122 0.122
0.122 0.122 0.634
0.122 0.634 0.122
0.634 0.122 0.122
0.500 0.500 0.500
0.750 0.750 0.750
```



Below is a geometry-optimized GaOsPtRh2 structure, with properties calculated at the PBE level.

Output
The symmetry is P4/mmm (123). As for the energy of formation from the pure elements: 6.0 eV/f.u.

Structure (POSCAR):
```
GaOsPtRh2
1.0
4.656 0.000 0.000
0.000 4.656 0.000
0.000 0.000 4.702
Ga Os Pt Rh
1 1 1 2
direct
0.000 0.000 0.000
0.000 0.000 0.500
0.500 0.500 0.000
0.000 0.500 0.500
0.500 0.000 0.500
```



Below is a geometry-optimized Er2Ga3Hg structure, with properties calculated at the PBE level.

Output
The symmetry is P6_3/mmc (194). Its energy above the lowest structure with this stoichiometry is 0.000 eV per atom. As for the energy of formation from the pure elements: -3.2 eV/f.u.

Structure (POSCAR):
```
Er2Ga3Hg
1.0
8.904 0.000 0.000
-4.452 7.711 0.000
0.000 0.000 7.413
Er Ga Hg
8 12 4
direct
0.000 0.000 0.250
0.000 0.000 0.750
0.017 0.508 0.250
0.492 0.508 0.250
0.492 0.983 0.250
0.508 0.017 0.750
0.508 0.492 0.750
0.983 0.492 0.750
0.163 0.326 0.022
0.163 0.326 0.478
0.163 0.837 0.022
0.163 0.837 0.478
0.326 0.163 0.522
0.326 0.163 0.978
0.674 0.837 0.022
0.674 0.837 0.478
0.837 0.163 0.522
0.837 0.163 0.978
0.837 0.674 0.522
0.837 0.674 0.978
0.333 0.667 0.544
0.333 0.667 0.956
0.667 0.333 0.044
0.667 0.333 0.456
```



Below is a geometry-optimized Hf4PdC structure, with properties calculated at the PBE level.

Output
The symmetry is I4_1md (109). As for the energy of formation from the pure elements: -1.3 eV/f.u.

Structure (POSCAR):
```
Hf4PdC
1.0
-4.010 4.010 3.767
4.010 -4.010 3.767
4.010 4.010 -3.767
Hf Pd C
8 2 2
direct
0.169 0.455 0.287
0.169 0.882 0.713
0.190 0.000 0.190
0.205 0.419 0.787
0.632 0.419 0.213
0.750 0.060 0.310
0.750 0.440 0.690
0.810 0.000 0.810
0.440 0.940 0.500
0.690 0.690 0.000
0.222 0.222 0.000
0.972 0.472 0.500
```



Below is a geometry-optimized Na2Cd2Sn3 structure, with properties calculated at the PBE level.

Output
The symmetry is C2/m (12). Its energy above the lowest structure with this stoichiometry is 0.019 eV per atom. As for the energy of formation from the pure elements: -0.5 eV/f.u.

Structure (POSCAR):
```
Na2Cd2Sn3
1.0
6.341 -2.276 0.000
6.341 2.276 0.000
-3.509 0.000 6.884
Na Cd Sn
2 2 3
direct
0.140 0.140 0.299
0.860 0.860 0.701
0.155 0.155 0.751
0.845 0.845 0.249
0.401 0.401 0.045
0.500 0.500 0.500
0.599 0.599 0.955
```